FeCoBr5 | GGA-PBE | optimized geometry

```
data_FeCoBr5
_chemical_formula_sum 'Fe4 Co4 Br20'
_space_group_name_H-M_alt 'P 1'
_space_group_IT_number 1
_space_group_name_Hall 'P 1'
_cell_length_a 16.498
_cell_length_b 7.329
_cell_length_c 9.023
_cell_angle_alpha 90.00
_cell_angle_beta 90.00
_cell_angle_gamma 90.00
loop_
_atom_site_label
_atom_site_fract_x
_atom_site_fract_y
_atom_site_fract_z
Fe1 0.144 0.250 0.054
Fe2 0.356 0.750 0.554
Fe3 0.644 0.250 0.446
Fe4 0.856 0.750 0.946
Co1 0.008 0.750 0.323
Co2 0.492 0.250 0.823
Co3 0.508 0.750 0.177
Co4 0.992 0.250 0.677
Br1 0.000 0.000 0.500
Br2 0.000 0.500 0.500
Br3 0.084 0.524 0.139
Br4 0.084 0.976 0.139
Br5 0.128 0.250 0.783
Br6 0.219 0.750 0.594
Br7 0.281 0.250 0.094
Br8 0.372 0.750 0.283
Br9 0.416 0.024 0.639
Br10 0.416 0.476 0.639
Br11 0.500 0.000 0.000
Br12 0.500 0.500 0.000
Br13 0.584 0.524 0.361
Br14 0.584 0.976 0.361
Br15 0.628 0.250 0.717
Br16 0.719 0.750 0.906
Br17 0.781 0.250 0.406
Br18 0.872 0.750 0.217
Br19 0.916 0.024 0.861
Br20 0.916 0.476 0.861
```

Output
Space group = Pnma
Formation energy without anion corrections = -0.24 eV per atom

MnCr2Ni | GGA-PBE | optimized geometry

```
data_MnCr2Ni
_chemical_formula_sum 'Mn4 Cr8 Ni4'
_space_group_name_H-M_alt 'P 1'
_space_group_IT_number 1
_space_group_name_Hall 'P 1'
_cell_length_a 6.277
_cell_length_b 6.277
_cell_length_c 4.896
_cell_angle_alpha 90.00
_cell_angle_beta 90.00
_cell_angle_gamma 90.00
loop_
_atom_site_label
_atom_site_fract_x
_atom_site_fract_y
_atom_site_fract_z
Mn1 0.000 0.000 0.000
Mn2 0.000 0.500 0.250
Mn3 0.500 0.000 0.750
Mn4 0.500 0.500 0.500
Cr1 0.232 0.250 0.125
Cr2 0.250 0.732 0.375
Cr3 0.250 0.768 0.875
Cr4 0.268 0.250 0.625
Cr5 0.732 0.750 0.625
Cr6 0.750 0.232 0.875
Cr7 0.750 0.268 0.375
Cr8 0.768 0.750 0.125
Ni1 0.000 0.000 0.500
Ni2 0.000 0.500 0.750
Ni3 0.500 0.000 0.250
Ni4 0.500 0.500 0.000
```

Output
Space group = I-42d
Uncorrected energy = -127.193 eV/cell

NdEr2Te | GGA-PBE | optimized geometry

```
data_NdEr2Te
_chemical_formula_sum 'Nd4 Er8 Te4'
_space_group_name_H-M_alt 'P 1'
_space_group_IT_number 1
_space_group_name_Hall 'P 1'
_cell_length_a 3.969
_cell_length_b 12.197
_cell_length_c 9.852
_cell_angle_alpha 90.00
_cell_angle_beta 90.00
_cell_angle_gamma 90.00
loop_
_atom_site_label
_atom_site_fract_x
_atom_site_fract_y
_atom_site_fract_z
Nd1 0.000 0.054 0.250
Nd2 0.000 0.946 0.750
Nd3 0.500 0.446 0.750
Nd4 0.500 0.554 0.250
Er1 0.000 0.364 0.034
Er2 0.000 0.364 0.466
Er3 0.000 0.636 0.534
Er4 0.000 0.636 0.966
Er5 0.500 0.136 0.534
Er6 0.500 0.136 0.966
Er7 0.500 0.864 0.034
Er8 0.500 0.864 0.466
Te1 0.000 0.231 0.750
Te2 0.000 0.769 0.250
Te3 0.500 0.269 0.250
Te4 0.500 0.731 0.750
```

Output
Energy above the lowest structure with this stoichiometry = 0.000 eV per atom
Space group = Cmcm
Formation energy without anion corrections = -0.65 eV per atom

CrOs2Rh | GGA-PBE | optimized geometry

```
data_CrOs2Rh
_chemical_formula_sum 'Cr1 Os2 Rh1'
_space_group_name_H-M_alt 'P 1'
_space_group_IT_number 1
_space_group_name_Hall 'P 1'
_cell_length_a 2.687
_cell_length_b 3.775
_cell_length_c 5.417
_cell_angle_alpha 90.00
_cell_angle_beta 90.00
_cell_angle_gamma 90.00
loop_
_atom_site_label
_atom_site_fract_x
_atom_site_fract_y
_atom_site_fract_z
Cr1 0.000 0.000 0.000
Os1 0.500 0.500 0.235
Os2 0.500 0.500 0.765
Rh1 0.000 0.000 0.500
```

Output
Energy above the lowest structure with this stoichiometry = 0.049 eV per atom
Space group = Pmmm

LaTa2Se | GGA-PBE | optimized geometry

```
data_LaTa2Se
_chemical_formula_sum 'La4 Ta8 Se4'
_space_group_name_H-M_alt 'P 1'
_space_group_IT_number 1
_space_group_name_Hall 'P 1'
_cell_length_a 4.114
_cell_length_b 4.114
_cell_length_c 21.518
_cell_angle_alpha 90.00
_cell_angle_beta 90.00
_cell_angle_gamma 90.00
loop_
_atom_site_label
_atom_site_fract_x
_atom_site_fract_y
_atom_site_fract_z
La1 0.000 0.000 0.000
La2 0.000 0.500 0.250
La3 0.500 0.000 0.750
La4 0.500 0.500 0.500
Ta1 0.240 0.250 0.625
Ta2 0.250 0.740 0.875
Ta3 0.250 0.760 0.375
Ta4 0.260 0.250 0.125
Ta5 0.740 0.750 0.125
Ta6 0.750 0.240 0.375
Ta7 0.750 0.260 0.875
Ta8 0.760 0.750 0.625
Se1 0.000 0.000 0.500
Se2 0.000 0.500 0.750
Se3 0.500 0.000 0.250
Se4 0.500 0.500 0.000
```

Output
Space group = I-42d
Formation energy without anion corrections = 0.19 eV per atom

ReAg2I | GGA-PBE | optimized geometry

```
data_ReAg2I
_chemical_formula_sum 'Re4 Ag8 I4'
_space_group_name_H-M_alt 'P 1'
_space_group_IT_number 1
_space_group_name_Hall 'P 1'
_cell_length_a 8.030
_cell_length_b 8.030
_cell_length_c 5.538
_cell_angle_alpha 90.00
_cell_angle_beta 90.00
_cell_angle_gamma 90.00
loop_
_atom_site_label
_atom_site_fract_x
_atom_site_fract_y
_atom_site_fract_z
Re1 0.000 0.000 0.000
Re2 0.000 0.500 0.250
Re3 0.500 0.000 0.750
Re4 0.500 0.500 0.500
Ag1 0.229 0.250 0.125
Ag2 0.250 0.729 0.375
Ag3 0.250 0.771 0.875
Ag4 0.271 0.250 0.625
Ag5 0.729 0.750 0.625
Ag6 0.750 0.229 0.875
Ag7 0.750 0.271 0.375
Ag8 0.771 0.750 0.125
I1 0.000 0.000 0.500
I2 0.000 0.500 0.750
I3 0.500 0.000 0.250
I4 0.500 0.500 0.000
```

Output
Energy above the lowest structure with this stoichiometry = 0.000 eV per atom
Space group = I-42d
Formation energy without anion corrections = 1.24 eV per atom

Across the entries above, total magnetic moment takes the values 31.88; 0.00; 0.00; 0.34; 0.00; 11.18 Bohr magnetons per cell, respectively.